DFT (PBE-GGA) results for a geometry-optimized MgH8N2F4 structure.

CIF file:
```
data_MgH8N2F4
_symmetry_space_group_name_H-M 'P 1 21/c 1'
_symmetry_Int_Tables_number 14
_symmetry_space_group_name_Hall '-P 2ybc'
_cell_length_a 7.4491
_cell_length_b 5.8277
_cell_length_c 5.7617
_cell_angle_alpha 90.00
_cell_angle_beta 110.05
_cell_angle_gamma 90.00
loop_
_atom_site_label
_atom_site_type_symbol
_atom_site_fract_x
_atom_site_fract_y
_atom_site_fract_z
Mg1 Mg 0.0000 0.0000 0.0000
H1 H 0.2213 0.0925 0.6923
H2 H 0.2934 0.6800 0.1594
H3 H 0.2955 0.0203 0.4543
H4 H 0.4598 0.0300 0.7442
N1 N 0.3183 0.5055 0.1408
F1 F 0.0262 0.2293 0.7413
F2 F 0.2867 0.5323 0.6468
```

Values from the calculation:
Total moment in μB per formula unit: 0.00
Fermi-level density of states in states/eV per cell: 0.00
Density in kg/m3: 1928
Electronic total energy in Ry/atom: -0.3646